A relaxed YSnI2 crystal. Source: the Alexandria database, functional PBE.

a = 7.840 Å, b = 7.840 Å, c = 7.840 Å
α = 90.00°, β = 90.00°, γ = 90.00°
Space group Fm-3m (No. 225)
Inequivalent atoms, fractional coordinates:
Y (0.000, 0.000, 0.000)
Sn (0.000, 0.000, 0.500)
I (0.250, 0.250, 0.250)

Calculated values
- Magnetic moment: 0.00 μB per formula unit
- Mass density: 6.4 g/cm3
- Energy above the lowest structure with this stoichiometry: 0.276 eV per atom
- Formation energy from raw total energies: -0.34 eV per atom

***

A relaxed NpU3Se6 crystal. Source: the Alexandria database, functional PBE.

a = 11.521 Å, b = 4.033 Å, c = 11.926 Å
α = 90.00°, β = 107.98°, γ = 90.00°
Space group P2_1/m (No. 11)
Inequivalent atoms, fractional coordinates:
Np (0.048, 0.250, 0.191)
U (0.146, 0.250, 0.576)
U (0.316, 0.750, 0.003)
U (0.430, 0.250, 0.334)
Se (0.088, 0.750, 0.396)
Se (0.118, 0.250, 0.962)
Se (0.194, 0.750, 0.750)
Se (0.254, 0.750, 0.224)
Se (0.392, 0.250, 0.563)
Se (0.491, 0.250, 0.121)

Calculated values
- Magnetic moment: 7.38 μB per formula unit
- Mass density: 9.0 g/cm3
- Formation energy from raw total energies: -1.10 eV per atom

***

A relaxed HPdRh2W crystal. Source: the Alexandria database, functional PBE.

a = 3.934 Å, b = 3.934 Å, c = 3.984 Å
α = 90.00°, β = 90.00°, γ = 90.00°
Space group P4/mmm (No. 123)
Inequivalent atoms, fractional coordinates:
H (0.000, 0.000, 0.000)
Pd (0.500, 0.500, 0.500)
Rh (0.000, 0.500, 0.000)
W (0.000, 0.000, 0.500)

Calculated values
- Magnetic moment: 0.00 μB per formula unit
- Energy: -7.187 eV/atom
- Mass density: 13.4 g/cm3

***

> Look up the mass density of the third one.

13.4 g/cm3

***

> Which formula does entry 1 have?

YSnI2